Entry 1:
Material: AcTh2P3
Method: DFT, PBE
State: relaxed

The calculated volume is 26.78 Å³/atom. The symmetry is P6_3/mmc (194). Its crystal system is hexagonal. The calculation puts the formation energy at -1.502 eV per atom.

a b c (Å): 4.2001 4.2001 21.0340
angles (deg): 90.00 90.00 120.00
Sites, in units of the cell vectors:
Ac 0.0000 0.0000 0.7500
Th 0.6667 0.3333 0.0797
P 0.0000 0.0000 0.5000
P 0.0000 0.0000 0.0000
Th 0.3333 0.6667 0.9203
P 0.6667 0.3333 0.8426
Th 0.6667 0.3333 0.4203
P 0.3333 0.6667 0.3426
Th 0.3333 0.6667 0.5797
P 0.6667 0.3333 0.6574
P 0.3333 0.6667 0.1574
Ac 0.0000 0.0000 0.2500

Entry 2:
Material: SmSeI
Method: DFT, PBE
State: relaxed

The calculated volume is 34.32 Å³/atom. As for the formation energy from raw total energies: -1.41 eV per atom. The symmetry is I4mm (107). Its crystal system is tetragonal.

a b c (Å): 3.7722 3.7722 7.7119
angles (deg): 104.16 104.16 90.00
Sites, in units of the cell vectors:
I 0.0347 0.0347 0.0694
Sm 0.6865 0.6865 0.3730
Se 0.2788 0.2788 0.5577

Entry 3:
Material: CsPuAg2Cl6
Method: DFT, PBE
State: relaxed

The calculated volume is 31.93 Å³/atom. As for the formation energy from raw total energies: -1.29 eV per atom. The symmetry is C2/c (15). Its crystal system is monoclinic.

a b c (Å): 9.2889 9.1553 9.1553
angles (deg): 66.11 68.26 68.26
Last column: magnetic moment on the atom in μB.
Sites, in units of the cell vectors:
Cl 0.9761 0.2983 0.9394  -0.02
Cl 0.5239 0.0606 0.7017  -0.02
Cl 0.6581 0.6876 0.0569  -0.02
Cl 0.8597 0.3471 0.3939  -0.01
Ag 0.8532 0.6159 0.7959  0.00
Cs 0.7500 0.1275 0.8725  0.00
Cl 0.0239 0.7017 0.0606  -0.02
Pu 0.2500 0.3070 0.6930  5.00
Ag 0.6468 0.2041 0.3841  0.00
Cl 0.1403 0.6529 0.6061  -0.01
Cl 0.3419 0.3124 0.9431  -0.02
Cl 0.4761 0.9394 0.2983  -0.02
Cl 0.6403 0.6061 0.6529  -0.01
Cl 0.3597 0.3939 0.3471  -0.01
Ag 0.1468 0.3841 0.2041  0.00
Cs 0.2500 0.8725 0.1275  0.00
Pu 0.7500 0.6930 0.3070  5.00
Cl 0.8419 0.9431 0.3124  -0.02
Cl 0.1581 0.0569 0.6876  -0.02
Ag 0.3532 0.7959 0.6159  0.00

Entry 4:
Material: NdDy2Ho7
Method: DFT, PBE
State: relaxed

The calculation puts the distance to the lowest polymorph of the same formula at 0.00 kJ per mole of atoms. The calculated volume is 31.35 Å³/atom. The symmetry is P-1 (2). Its crystal system is triclinic. The calculation puts the formation energy at 0.017 eV per atom.

a b c (Å): 6.1244 10.6125 11.1861
angles (deg): 137.55 123.20 39.76
Sites, in units of the cell vectors:
Ho 0.5000 0.5000 0.0000
Ho 0.7001 0.6989 0.7991
Ho 0.2999 0.3011 0.2009
Ho 0.1014 0.0995 0.4005
Dy 0.4015 0.3985 0.5991
Dy 0.5985 0.6015 0.4009
Ho 0.8986 0.9005 0.5995
Ho 0.1978 0.2004 0.7992
Nd 0.0000 0.0000 0.0000
Ho 0.8022 0.7996 0.2008

| no. | total magnetization (μB/atom) |
| --- | --- |
| 1 | 0.000 |
| 2 | 0.000 |
| 3 | 0.500 |
| 4 | 0.000 |